Compound: TmCd6Ag12
Source: the Alexandria database
Functional: PBE
Structure: relaxed

Cell lengths 7.451, 7.451, 7.451 Å; angles 101.26, 101.26, 101.26 degrees
Fractional coordinates of all 19 atoms:
Tm 0.000 0.000 0.000
Cd 0.176 0.178 0.437
Cd 0.178 0.437 0.176
Cd 0.437 0.176 0.178
Cd 0.563 0.824 0.822
Cd 0.822 0.563 0.824
Cd 0.824 0.822 0.563
Ag 0.001 0.739 0.259
Ag 0.180 0.600 0.598
Ag 0.259 0.001 0.739
Ag 0.261 0.741 0.999
Ag 0.400 0.402 0.820
Ag 0.402 0.820 0.400
Ag 0.598 0.180 0.600
Ag 0.600 0.598 0.180
Ag 0.739 0.259 0.001
Ag 0.741 0.999 0.261
Ag 0.820 0.400 0.402
Ag 0.999 0.261 0.741

M_tot: 0.0 μB per formula unit
ΔE_f: -0.007 eV per atom
Calculated density: 9.19 Mg/m³



Compound: LiMnNi3
Source: the Alexandria database
Functional: PBE
Structure: relaxed

Cell lengths 3.915, 3.915, 3.915 Å; angles 90.00, 90.00, 90.00 degrees
Fractional coordinates of all 5 atoms:
Li 0.000 0.000 0.000
Mn 0.500 0.500 0.500
Ni 0.000 0.000 0.500
Ni 0.000 0.500 0.000
Ni 0.500 0.000 0.000

M_tot: 4.6 μB per formula unit
ΔE_f: 0.614 eV per atom
Calculated density: 6.58 Mg/m³



Compound: Sn12As3Au5
Source: the Alexandria database
Functional: PBE
Structure: relaxed

Cell lengths 14.408, 14.408, 14.408 Å; angles 109.47, 109.47, 109.47 degrees
Fractional coordinates of all 80 atoms:
Sn 0.057 0.224 0.139
Sn 0.057 0.333 0.918
Sn 0.082 0.639 0.415
Sn 0.082 0.943 0.667
Sn 0.085 0.724 0.667
Sn 0.085 0.861 0.418
Sn 0.139 0.057 0.224
Sn 0.139 0.582 0.915
Sn 0.167 0.224 0.585
Sn 0.167 0.443 0.582
Sn 0.224 0.139 0.057
Sn 0.224 0.585 0.167
Sn 0.276 0.333 0.915
Sn 0.276 0.443 0.361
Sn 0.333 0.915 0.276
Sn 0.333 0.918 0.057
Sn 0.361 0.276 0.443
Sn 0.361 0.585 0.918
Sn 0.415 0.082 0.639
Sn 0.415 0.833 0.776
Sn 0.418 0.085 0.861
Sn 0.418 0.833 0.557
Sn 0.443 0.361 0.276
Sn 0.443 0.582 0.167
Sn 0.557 0.418 0.833
Sn 0.557 0.639 0.724
Sn 0.582 0.167 0.443
Sn 0.582 0.915 0.139
Sn 0.585 0.167 0.224
Sn 0.585 0.918 0.361
Sn 0.639 0.415 0.082
Sn 0.639 0.724 0.557
Sn 0.667 0.082 0.943
Sn 0.667 0.085 0.724
Sn 0.724 0.557 0.639
Sn 0.724 0.667 0.085
Sn 0.776 0.415 0.833
Sn 0.776 0.861 0.943
Sn 0.833 0.557 0.418
Sn 0.833 0.776 0.415
Sn 0.861 0.418 0.085
Sn 0.861 0.943 0.776
Sn 0.915 0.139 0.582
Sn 0.915 0.276 0.333
Sn 0.918 0.057 0.333
Sn 0.918 0.361 0.585
Sn 0.943 0.667 0.082
Sn 0.943 0.776 0.861
As 0.125 0.250 0.375
As 0.125 0.375 0.750
As 0.250 0.375 0.125
As 0.250 0.875 0.625
As 0.375 0.125 0.250
As 0.375 0.750 0.125
As 0.625 0.250 0.875
As 0.625 0.875 0.750
As 0.750 0.125 0.375
As 0.750 0.625 0.875
As 0.875 0.625 0.250
As 0.875 0.750 0.625
Au 0.000 0.000 0.000
Au 0.000 0.000 0.500
Au 0.000 0.500 0.000
Au 0.000 0.500 0.500
Au 0.125 0.750 0.875
Au 0.125 0.875 0.250
Au 0.250 0.125 0.875
Au 0.250 0.625 0.375
Au 0.375 0.250 0.625
Au 0.375 0.625 0.750
Au 0.500 0.000 0.000
Au 0.500 0.000 0.500
Au 0.500 0.500 0.000
Au 0.500 0.500 0.500
Au 0.625 0.375 0.250
Au 0.625 0.750 0.375
Au 0.750 0.375 0.625
Au 0.750 0.875 0.125
Au 0.875 0.125 0.750
Au 0.875 0.250 0.125

M_tot: 0.0 μB per formula unit
ΔE_f: 0.056 eV per atom
Calculated density: 7.60 Mg/m³



| no. | total DFT energy (no corrections) (eV/atom) |
| --- | --- |
| 1 | -2.3319 |
| 2 | -5.0716 |
| 3 | -3.8629 |